# Li7PmZn5

An optimized crystal structure of Li7PmZn5 (PBE, the Alexandria database).

Cell and atoms, written as POSCAR:
```
Li7PmZn5
1.0
-2.6034 4.6299 4.6703
2.6034 -4.6299 4.6703
2.6034 4.6299 -4.6703
Li Pm Zn
7 1 5
direct
0.0000 0.0000 0.0000
0.2844 0.6366 0.6478
0.3056 0.3056 0.0000
0.4194 0.9194 0.5000
0.4277 0.1445 0.2832
0.8613 0.1445 0.7168
0.9888 0.6366 0.3522
0.6576 0.6576 0.0000
0.1404 0.1413 0.4967
0.1404 0.6438 0.9992
0.6446 0.1413 0.0008
0.6446 0.6438 0.5033
0.8569 0.3569 0.5000
```

Computed properties:
The formation energy is -0.16 eV per atom. The total magnetic moment comes out at 0.0 μB/cell. The value obtained for the total energy is -2.051 eV per atom. As for the space group: Imm2 (44).

=====

# Li5PmZn2

An optimized crystal structure of Li5PmZn2 (PBE, the Alexandria database).

Cell and atoms, written as POSCAR:
```
Li5PmZn2
1.0
-1.6281 4.5608 5.3837
1.6281 -4.5608 5.3837
1.6281 4.5608 -5.3837
Li Pm Zn
5 1 2
direct
0.0000 0.0000 0.0000
0.0617 0.3543 0.7075
0.3532 0.6457 0.7075
0.6468 0.3543 0.2925
0.9383 0.6457 0.2925
0.5000 0.0000 0.5000
0.2587 0.2587 0.0000
0.7413 0.7413 0.0000
```

Computed properties:
The formation energy is -0.07 eV per atom. The total magnetic moment comes out at 0.0 μB/cell. The value obtained for the total energy is -2.176 eV per atom. As for the space group: Immm (71).

=====

# Li5Pm2Zn5

An optimized crystal structure of Li5Pm2Zn5 (PBE, the Alexandria database).

Cell and atoms, written as POSCAR:
```
Li5Pm2Zn5
1.0
4.5595 0.0000 0.0000
0.0000 5.2254 0.0000
0.0000 0.0000 9.3986
Li Pm Zn
5 2 5
direct
0.0000 0.0000 0.0000
0.0000 0.2498 0.2560
0.0000 0.2498 0.7440
0.0000 0.7502 0.2560
0.0000 0.7502 0.7440
0.5000 0.0000 0.5000
0.5000 0.5000 0.0000
0.0000 0.5000 0.5000
0.5000 0.0000 0.1675
0.5000 0.0000 0.8325
0.5000 0.5000 0.3288
0.5000 0.5000 0.6712
```

Computed properties:
The formation energy is -0.19 eV per atom. The total magnetic moment comes out at 0.0 μB/cell. The value obtained for the total energy is -2.305 eV per atom. As for the space group: Pmmm (47).

=====

# Li2Pm2Zn3

An optimized crystal structure of Li2Pm2Zn3 (PBE, the Alexandria database).

Cell and atoms, written as POSCAR:
```
Li2Pm2Zn3
1.0
1.9099 -11.5592 0.0000
1.9099 11.5592 0.0000
0.0000 0.0000 3.3532
Li Pm Zn
2 2 3
direct
0.2148 0.7852 0.0000
0.7852 0.2148 0.0000
0.0803 0.9197 0.0000
0.9197 0.0803 0.0000
0.3354 0.6646 0.5000
0.5000 0.5000 0.5000
0.6646 0.3354 0.5000
```

Computed properties:
The formation energy is -0.16 eV per atom. The total magnetic moment comes out at 0.0 μB/cell. The value obtained for the total energy is -2.609 eV per atom. As for the space group: Cmmm (65).

=====

# Li4PmZn8

An optimized crystal structure of Li4PmZn8 (PBE, the Alexandria database).

Cell and atoms, written as POSCAR:
```
Li4PmZn8
1.0
-4.6576 4.6576 2.3715
4.6576 -4.6576 2.3715
4.6576 4.6576 -2.3715
Li Pm Zn
4 1 8
direct
0.0000 0.0000 0.5000
0.0000 0.5000 0.0000
0.5000 0.0000 0.0000
0.5000 0.5000 0.5000
0.0000 0.0000 0.0000
0.0000 0.3578 0.3578
0.0000 0.6422 0.6422
0.2782 0.5000 0.7782
0.3578 0.0000 0.3578
0.5000 0.2782 0.7782
0.5000 0.7218 0.2218
0.6422 0.0000 0.6422
0.7218 0.5000 0.2218
```

Computed properties:
The formation energy is -0.21 eV per atom. The total magnetic moment comes out at 0.0 μB/cell. The value obtained for the total energy is -1.944 eV per atom. As for the space group: I4/mmm (139).

=====

# Li2Pm2Zn15

An optimized crystal structure of Li2Pm2Zn15 (PBE, the Alexandria database).

Cell and atoms, written as POSCAR:
```
Li2Pm2Zn15
1.0
4.5441 2.6235 4.3803
-4.5441 2.6235 4.3803
0.0000 -5.2471 4.3803
Li Pm Zn
2 2 15
direct
0.0977 0.0977 0.0977
0.9023 0.9023 0.9023
0.3393 0.3393 0.3393
0.6607 0.6607 0.6607
0.0000 0.0000 0.5000
0.0000 0.2943 0.7057
0.0000 0.5000 0.0000
0.0000 0.7057 0.2943
0.1592 0.6497 0.6497
0.2943 0.0000 0.7057
0.2943 0.7057 0.0000
0.3503 0.3503 0.8407
0.3503 0.8408 0.3503
0.5000 0.0000 0.0000
0.6497 0.1592 0.6497
0.6497 0.6497 0.1592
0.7057 0.0000 0.2943
0.7057 0.2943 0.0000
0.8408 0.3503 0.3503
```

Computed properties:
The formation energy is -0.27 eV per atom. The total magnetic moment comes out at 0.0 μB/cell. The value obtained for the total energy is -1.980 eV per atom. As for the space group: R-3m (166).

=====

# LiPm2Zn7

An optimized crystal structure of LiPm2Zn7 (PBE, the Alexandria database).

Cell and atoms, written as POSCAR:
```
LiPm2Zn7
1.0
4.2448 0.0000 0.0000
0.0000 4.2448 0.0000
0.0000 0.0000 10.6685
Li Pm Zn
1 2 7
direct
0.0000 0.0000 0.0000
0.0000 0.5000 0.7383
0.5000 0.0000 0.2617
0.0000 0.0000 0.5000
0.0000 0.5000 0.1386
0.0000 0.5000 0.3691
0.5000 0.0000 0.6309
0.5000 0.0000 0.8614
0.5000 0.5000 0.0000
0.5000 0.5000 0.5000
```

Computed properties:
The formation energy is -0.28 eV per atom. The total magnetic moment comes out at 0.0 μB/cell. The value obtained for the total energy is -2.309 eV per atom. As for the space group: P-4m2 (115).

=====

# Li4PmZn4

An optimized crystal structure of Li4PmZn4 (PBE, the Alexandria database).

Cell and atoms, written as POSCAR:
```
Li4PmZn4
1.0
5.8915 0.0000 0.0000
0.0000 5.8915 0.0000
0.0000 0.0000 9.3110
Li Pm Zn
8 2 8
direct
0.0203 0.2500 0.1630
0.2500 0.0203 0.6630
0.2500 0.4797 0.6630
0.4797 0.2500 0.1630
0.5203 0.7500 0.8370
0.7500 0.5203 0.3370
0.7500 0.9797 0.3370
0.9797 0.7500 0.8370
0.2500 0.7500 0.2500
0.7500 0.2500 0.7500
0.0364 0.2500 0.4539
0.2500 0.0364 0.9539
0.2500 0.4636 0.9539
0.4636 0.2500 0.4539
0.5364 0.7500 0.5461
0.7500 0.5364 0.0461
0.7500 0.9636 0.0461
0.9636 0.7500 0.5461
```

Computed properties:
The formation energy is -0.06 eV per atom. The total magnetic moment comes out at 0.0 μB/cell. The value obtained for the total energy is -2.007 eV per atom. As for the space group: P4_2/nmc (137).

=====

# Li5Pm2Zn12

An optimized crystal structure of Li5Pm2Zn12 (PBE, the Alexandria database).

Cell and atoms, written as POSCAR:
```
Li5Pm2Zn12
1.0
4.5318 2.6164 4.4094
-4.5318 2.6164 4.4094
0.0000 -5.2328 4.4094
Li Pm Zn
5 2 12
direct
0.0000 0.0000 0.5000
0.0000 0.5000 0.0000
0.0962 0.0962 0.0962
0.5000 0.0000 0.0000
0.9038 0.9038 0.9038
0.3456 0.3456 0.3456
0.6544 0.6544 0.6544
0.0000 0.2947 0.7053
0.0000 0.7053 0.2947
0.1542 0.6522 0.6522
0.2947 0.0000 0.7053
0.2947 0.7053 0.0000
0.3478 0.3478 0.8458
0.3478 0.8458 0.3478
0.6522 0.1542 0.6522
0.6522 0.6522 0.1542
0.7053 0.0000 0.2947
0.7053 0.2947 0.0000
0.8458 0.3478 0.3478
```

Computed properties:
The formation energy is -0.25 eV per atom. The total magnetic moment comes out at 0.0 μB/cell. The value obtained for the total energy is -2.060 eV per atom. As for the space group: R-3m (166).

=====

# Li2Pm3Zn9

An optimized crystal structure of Li2Pm3Zn9 (PBE, the Alexandria database).

Cell and atoms, written as POSCAR:
```
Li2Pm3Zn9
1.0
-2.2622 4.3687 6.7581
2.2622 -4.3687 6.7581
2.2622 4.3687 -6.7581
Li Pm Zn
2 3 9
direct
0.1840 0.0000 0.1840
0.8160 0.0000 0.8160
0.2108 0.2108 0.0000
0.5000 0.5000 0.0000
0.7892 0.7892 0.0000
0.0000 0.5000 0.5000
0.0779 0.3650 0.7129
0.1963 0.8410 0.3553
0.3479 0.6350 0.7129
0.4857 0.8410 0.6447
0.5143 0.1590 0.3553
0.6521 0.3650 0.2871
0.8037 0.1590 0.6447
0.9221 0.6350 0.2871
```

Computed properties:
The formation energy is -0.31 eV per atom. The total magnetic moment comes out at 0.0 μB/cell. The value obtained for the total energy is -2.416 eV per atom. As for the space group: Immm (71).

=====

# LiPmZn3

An optimized crystal structure of LiPmZn3 (PBE, the Alexandria database).

Cell and atoms, written as POSCAR:
```
LiPmZn3
1.0
1.6959 -12.9745 0.0000
1.6959 12.9745 0.0000
0.0000 0.0000 4.5341
Li Pm Zn
2 2 6
direct
0.2134 0.7866 0.7500
0.7866 0.2134 0.2500
0.0781 0.9219 0.2500
0.9219 0.0781 0.7500
0.3188 0.6812 0.7500
0.3706 0.6294 0.2500
0.4749 0.5251 0.2500
0.5251 0.4749 0.7500
0.6294 0.3706 0.7500
0.6812 0.3188 0.2500
```

Computed properties:
The formation energy is -0.21 eV per atom. Its energy above the most stable polymorph in this dataset is 10.6 meV per atom. The total magnetic moment comes out at 0.0 μB/cell. The value obtained for the total energy is -2.312 eV per atom. As for the space group: Cmcm (63).

=====

# Li3Pm2Zn4

An optimized crystal structure of Li3Pm2Zn4 (PBE, the Alexandria database).

Cell and atoms, written as POSCAR:
```
Li3Pm2Zn4
1.0
2.9103 -7.7390 0.0000
2.9103 7.7390 0.0000
0.0000 0.0000 7.9581
Li Pm Zn
6 4 8
direct
0.0000 0.0000 0.0000
0.0299 0.4701 0.2500
0.4701 0.0299 0.7500
0.5000 0.5000 0.5000
0.5299 0.9701 0.2500
0.9701 0.5299 0.7500
0.1147 0.8853 0.4174
0.3853 0.6147 0.9174
0.6147 0.3853 0.0826
0.8853 0.1147 0.5826
0.1786 0.8214 0.0250
0.1983 0.3017 0.2500
0.3017 0.1983 0.7500
0.3214 0.6786 0.5250
0.6786 0.3214 0.4750
0.6983 0.8017 0.2500
0.8017 0.6983 0.7500
0.8214 0.1786 0.9750
```

Computed properties:
The formation energy is -0.17 eV per atom. The total magnetic moment comes out at 0.0 μB/cell. The value obtained for the total energy is -2.431 eV per atom. As for the space group: Cmce (64).

=====

# Li2Pm3Zn4

An optimized crystal structure of Li2Pm3Zn4 (PBE, the Alexandria database).

Cell and atoms, written as POSCAR:
```
Li2Pm3Zn4
1.0
5.3150 -2.3541 0.0000
5.3150 2.3541 0.0000
-4.2431 0.0000 7.8085
Li Pm Zn
2 3 4
direct
0.1192 0.1192 0.2868
0.8808 0.8808 0.7132
0.1653 0.1653 0.6727
0.5000 0.5000 0.0000
0.8347 0.8347 0.3273
0.2260 0.2260 0.0597
0.4447 0.4447 0.6102
0.5553 0.5553 0.3898
0.7740 0.7740 0.9403
```

Computed properties:
The formation energy is -0.21 eV per atom. The total magnetic moment comes out at 0.0 μB/cell. The value obtained for the total energy is -2.782 eV per atom. As for the space group: C2/m (12).

=====

# Li2PmZn2

An optimized crystal structure of Li2PmZn2 (PBE, the Alexandria database).

Cell and atoms, written as POSCAR:
```
Li2PmZn2
1.0
-1.7814 2.2708 12.7962
1.7814 -2.2708 12.7962
1.7814 2.2708 -12.7962
Li Pm Zn
4 2 4
direct
0.0449 0.2949 0.7500
0.4473 0.1973 0.2500
0.5527 0.8027 0.7500
0.9551 0.7051 0.2500
0.3271 0.5771 0.7500
0.6729 0.4229 0.2500
0.1215 0.8715 0.2500
0.2252 0.9752 0.2500
0.7748 0.0248 0.7500
0.8785 0.1285 0.7500
```

Computed properties:
The formation energy is -0.18 eV per atom. The total magnetic moment comes out at 0.0 μB/cell. The value obtained for the total energy is -2.407 eV per atom. As for the space group: Imma (74).

=====

# LiPm3Zn4

An optimized crystal structure of LiPm3Zn4 (PBE, the Alexandria database).

Cell and atoms, written as POSCAR:
```
LiPm3Zn4
1.0
2.5189 1.4543 8.3220
-2.5189 1.4543 8.3220
0.0000 -2.9086 8.3220
Li Pm Zn
1 3 4
direct
0.0000 0.0000 0.0000
0.2552 0.2552 0.2552
0.5000 0.5000 0.5000
0.7448 0.7448 0.7448
0.1216 0.1216 0.1216
0.3744 0.3744 0.3744
0.6256 0.6256 0.6256
0.8784 0.8784 0.8784
```

Computed properties:
The formation energy is -0.26 eV per atom. The total magnetic moment comes out at 0.0 μB/cell. The value obtained for the total energy is -2.917 eV per atom. As for the space group: R-3m (166).

=====

# LiPmZn6

An optimized crystal structure of LiPmZn6 (PBE, the Alexandria database).

Cell and atoms, written as POSCAR:
```
LiPmZn6
1.0
4.4164 0.0000 0.0000
0.0000 6.5990 0.0000
0.0000 0.0000 4.7864
Li Pm Zn
1 1 6
direct
0.0000 0.0000 0.0000
0.5000 0.5000 0.6776
0.0000 0.2009 0.5186
0.0000 0.5000 0.1568
0.0000 0.7991 0.5186
0.5000 0.0000 0.6824
0.5000 0.2097 0.1787
0.5000 0.7903 0.1787
```

Computed properties:
The formation energy is -0.22 eV per atom. The total magnetic moment comes out at 0.0 μB/cell. The value obtained for the total energy is -2.005 eV per atom. As for the space group: Pmm2 (25).

=====

# LiPm3Zn

An optimized crystal structure of LiPm3Zn (PBE, the Alexandria database).

Cell and atoms, written as POSCAR:
```
LiPm3Zn
1.0
2.6043 -10.0009 0.0000
2.6043 10.0009 0.0000
0.0000 0.0000 5.2220
Li Pm Zn
2 6 2
direct
0.1566 0.8434 0.7500
0.8434 0.1566 0.2500
0.0636 0.9364 0.2500
0.2499 0.7501 0.2500
0.4345 0.5655 0.2500
0.5655 0.4345 0.7500
0.7501 0.2499 0.7500
0.9364 0.0636 0.7500
0.3411 0.6589 0.7500
0.6589 0.3411 0.2500
```

Computed properties:
The formation energy is -0.09 eV per atom. The total magnetic moment comes out at 0.0 μB/cell. The value obtained for the total energy is -3.576 eV per atom. As for the space group: Cmcm (63).

=====

# Li4PmZn

An optimized crystal structure of Li4PmZn (PBE, the Alexandria database).

Cell and atoms, written as POSCAR:
```
Li4PmZn
1.0
0.0000 3.8678 3.8678
3.8678 0.0000 3.8678
3.8678 3.8678 0.0000
Li Pm Zn
4 1 1
direct
0.1227 0.1227 0.1227
0.1227 0.1227 0.6319
0.1227 0.6319 0.1227
0.6319 0.1227 0.1227
0.5000 0.5000 0.5000
0.7500 0.7500 0.7500
```

Computed properties:
The formation energy is 0.01 eV per atom. The total magnetic moment comes out at 0.0 μB/cell. The value obtained for the total energy is -2.273 eV per atom. As for the space group: F-43m (216).

=====

# Li2PmZn

An optimized crystal structure of Li2PmZn (PBE, the Alexandria database).

Cell and atoms, written as POSCAR:
```
Li2PmZn
1.0
0.0000 3.4206 3.4206
3.4206 0.0000 3.4206
3.4206 3.4206 0.0000
Li Pm Zn
2 1 1
direct
0.2500 0.2500 0.2500
0.7500 0.7500 0.7500
0.0000 0.0000 0.0000
0.5000 0.5000 0.5000
```

Computed properties:
The formation energy is -0.01 eV per atom. Its energy above the most stable polymorph in this dataset is 0.0 meV per atom. The total magnetic moment comes out at 0.0 μB/cell. The value obtained for the total energy is -2.471 eV per atom. As for the space group: Fm-3m (225).

=====

# LiPm4Zn5

An optimized crystal structure of LiPm4Zn5 (PBE, the Alexandria database).

Cell and atoms, written as POSCAR:
```
LiPm4Zn5
1.0
3.6065 0.0000 0.0000
0.0000 3.6065 0.0000
0.0000 0.0000 17.6869
Li Pm Zn
1 4 5
direct
0.0000 0.0000 0.0000
0.0000 0.0000 0.1870
0.0000 0.0000 0.3946
0.0000 0.0000 0.6054
0.0000 0.0000 0.8130
0.5000 0.5000 0.0788
0.5000 0.5000 0.2911
0.5000 0.5000 0.5000
0.5000 0.5000 0.7089
0.5000 0.5000 0.9212
```

Computed properties:
The formation energy is -0.26 eV per atom. The total magnetic moment comes out at 0.0 μB/cell. The value obtained for the total energy is -2.988 eV per atom. As for the space group: P4/mmm (123).

=====

# LiPm5Zn4

An optimized crystal structure of LiPm5Zn4 (PBE, the Alexandria database).

Cell and atoms, written as POSCAR:
```
LiPm5Zn4
1.0
3.6920 0.0000 0.0000
0.0000 3.6920 0.0000
0.0000 0.0000 18.3657
Li Pm Zn
1 5 4
direct
0.0000 0.0000 0.0000
0.5000 0.5000 0.1093
0.5000 0.5000 0.3027
0.5000 0.5000 0.5000
0.5000 0.5000 0.6973
0.5000 0.5000 0.8907
0.0000 0.0000 0.2029
0.0000 0.0000 0.4005
0.0000 0.0000 0.5995
0.0000 0.0000 0.7971
```

Computed properties:
The formation energy is -0.24 eV per atom. The total magnetic moment comes out at 0.0 μB/cell. The value obtained for the total energy is -3.314 eV per atom. As for the space group: P4/mmm (123).